RbBaP2W: PBEsol geometry, SCAN.

Cell: 4.825 4.825 5.616 Å, 90.00 90.00 90.00°
Sites, in units of the cell vectors:
1 P 0.500 0.000 0.000
2 Ba 0.000 0.000 0.500
3 Rb 0.500 0.500 0.500
4 P 0.000 0.500 0.000
5 W 0.000 0.000 0.000

Properties
E   -29.94 eV/atom
Formation enthalpy at 0 K   0.214 eV/atom
V   130.7 Å³ per cell
Symmetry   P4/mmm, No. 123